Entry from Alexandria via LeMat-Bulk: a relaxed KNiGe crystal (PBE).

SG: P-1 (2)
Energy relative to the lowest polymorph listed for this composition (meV per atom): 0
E (Ry per atom): -0.295
Calculated formation energy (eV/f.u.): -0.6
Magnetic moment (μB/f.u.): 0.00
Fermi-level density of states (states/eV/cell): 3.049
V (A^3/atom): 28.851

abc: 4.3327 4.3347 9.3930
angles: 91.93 91.86 100.71
Closest atoms and distances in Å follow each position.
Element x y z (fractional)
K 0.2319 0.2310 0.2938  2 Ni 3.28, 3 Ge 3.31-3.65
K 0.7681 0.7690 0.7062  2 Ni 3.28, 3 Ge 3.31-3.65
Ni 0.2039 0.7957 0.9998  4 Ge 2.33-2.40
Ni 0.7961 0.2043 0.0002  4 Ge 2.33-2.40
Ge 0.2982 0.2980 0.9096  4 Ni 2.33-2.40
Ge 0.7018 0.7020 0.0904  4 Ni 2.33-2.40

=====

Entry from Alexandria via LeMat-Bulk: a relaxed NpCdBi2O6 crystal (PBE).

SG: R3 (146)
E (Ry per atom): -0.500
Magnetic moment (μB/f.u.): 3.00
Uncorrected formation energy (meV per atom): -1663
Fermi-level density of states (states/eV/cell): 10.181
V (A^3/atom): 16.074

abc: 6.1820 6.1820 6.1820
angles: 58.35 58.35 58.35
Closest atoms and distances in Å follow each position.
Element x y z (fractional)
Np 0.0000 0.0000 0.0000  6 O 2.23-2.25
Cd 0.5097 0.5097 0.5097  6 O 2.29-2.48
Bi 0.2933 0.2933 0.2933  6 O 2.35-2.48
Bi 0.7876 0.7876 0.7876  6 O 2.39-2.45
O 0.1201 0.3644 0.7011  1 Np 2.23, 2 Bi 2.35-2.45, 1 Cd 2.48
O 0.1855 0.8775 0.6375  1 Np 2.25, 1 Cd 2.29, 2 Bi 2.39-2.48
O 0.3644 0.7011 0.1201  1 Np 2.23, 2 Bi 2.35-2.45, 1 Cd 2.48
O 0.6375 0.1855 0.8775  1 Np 2.25, 1 Cd 2.29, 2 Bi 2.39-2.48
O 0.7011 0.1201 0.3644  1 Np 2.23, 2 Bi 2.35-2.45, 1 Cd 2.48
O 0.8775 0.6375 0.1855  1 Np 2.25, 1 Cd 2.29, 2 Bi 2.39-2.48

=====

Entry from Alexandria via LeMat-Bulk: a relaxed PrCu4Ag crystal (PBE).

SG: F-43m (216)
E (Ry per atom): -0.306
Calculated formation energy (eV/f.u.): -1.0
Magnetic moment (μB/f.u.): 0.00
Fermi-level density of states (states/eV/cell): 5.235
V (A^3/atom): 16.114

abc: 5.1518 5.1518 5.1518
angles: 60.00 60.00 60.00
Closest atoms and distances in Å follow each position.
Element x y z (fractional)
Pr 0.0000 0.0000 0.0000  12 Cu 3.02, 4 Ag 3.15
Cu 0.1304 0.6232 0.6232  6 Cu 2.54-2.61
Cu 0.6232 0.1304 0.6232  6 Cu 2.54-2.61
Cu 0.6232 0.6232 0.1304  6 Cu 2.54-2.61
Cu 0.6232 0.6232 0.6232  6 Cu 2.54-2.61
Ag 0.2500 0.2500 0.2500  12 Cu 3.02, 4 Pr 3.15

=====

Entry from Alexandria via LeMat-Bulk: a relaxed Tb2Ga4Cu3Ir crystal (PBE).

SG: P-4m2 (115)
E (Ry per atom): -0.349
Calculated formation energy (eV/f.u.): -5.0
Magnetic moment (μB/f.u.): 0.00
Fermi-level density of states (states/eV/cell): 4.507
V (A^3/atom): 17.419

abc: 4.0584 4.0584 10.5757
angles: 90.00 90.00 90.00
Closest atoms and distances in Å follow each position.
Element x y z (fractional)
Tb 0.0000 0.5000 0.2490  6 Cu 3.11-3.34, 8 Ga 3.11-3.32, 2 Ir 3.34
Tb 0.5000 0.0000 0.7510  6 Cu 3.11-3.34, 8 Ga 3.11-3.32, 2 Ir 3.34
Ga 0.0000 0.0000 0.0000  4 Cu 2.49
Ga 0.0000 0.5000 0.6371  3 Cu 2.40-2.49, 2 Ir 2.49
Ga 0.5000 0.0000 0.3629  3 Cu 2.40-2.49, 2 Ir 2.49
Ga 0.5000 0.5000 0.0000  4 Cu 2.49
Cu 0.0000 0.5000 0.8638  5 Ga 2.40-2.49
Cu 0.5000 0.0000 0.1362  5 Ga 2.40-2.49
Cu 0.5000 0.5000 0.5000  4 Ga 2.49
Ir 0.0000 0.0000 0.5000  4 Ga 2.49

=====

Entry from Alexandria via LeMat-Bulk: a relaxed Hf4TcPt crystal (PBE).

SG: P4/mmm (123)
E (Ry per atom): -0.728
Calculated formation energy (eV/f.u.): -3.2
Magnetic moment (μB/f.u.): 0.00
Fermi-level density of states (states/eV/cell): 5.311
V (A^3/atom): 19.052

abc: 3.3220 3.3220 10.3585
angles: 90.00 90.00 90.00
Closest atoms and distances in Å follow each position.
Element x y z (fractional)
Hf 0.0000 0.0000 0.1512  4 Tc 2.82, 5 Hf 3.07-3.13
Hf 0.0000 0.0000 0.8488  4 Tc 2.82, 5 Hf 3.07-3.13
Hf 0.5000 0.5000 0.3415  4 Pt 2.87, 4 Hf 3.07
Hf 0.5000 0.5000 0.6585  4 Pt 2.87, 4 Hf 3.07
Tc 0.5000 0.5000 0.0000  8 Hf 2.82
Pt 0.0000 0.0000 0.5000  8 Hf 2.87

=====

Entry from Alexandria via LeMat-Bulk: a relaxed BaTc2Ir crystal (PBE).

SG: P4/mmm (123)
Energy relative to the lowest polymorph listed for this composition (meV per atom): 1021
E (Ry per atom): -0.481
Calculated formation energy (eV/f.u.): 5.4
Magnetic moment (μB/f.u.): 3.58
Fermi-level density of states (states/eV/cell): 5.276
V (A^3/atom): 19.847

abc: 4.1896 4.1896 4.5230
angles: 90.00 90.00 90.00
Closest atoms and distances in Å follow each position.
Element x y z (fractional)
Ba 0.0000 0.0000 0.0000  4 Ir 2.96, 8 Tc 3.08
Tc 0.0000 0.5000 0.5000  4 Tc 2.96, 4 Ba 3.08, 4 Ir 3.08
Tc 0.5000 0.0000 0.5000  4 Tc 2.96, 4 Ba 3.08, 4 Ir 3.08
Ir 0.5000 0.5000 0.0000  4 Ba 2.96, 8 Tc 3.08